Entry 1:
Entry from Alexandria: an optimized crystal structure of CrReSi2Pd (GGA-PBE).

a b c (Å): 4.3485 4.3485 4.4853
angles (deg): 90.00 90.00 90.00
Fractional coordinates of all 5 atoms:
1 Cr 0.0000 0.0000 0.0000
2 Re 0.0000 0.0000 0.5000
3 Si 0.0000 0.5000 0.0000
4 Si 0.5000 0.0000 0.0000
5 Pd 0.5000 0.5000 0.5000

Results
As for the raw formation energy: 897 meV per atom. The space group is P4/mmm (123).

Entry 2:
Entry from Alexandria: an optimized crystal structure of Cr2ReTePd (GGA-PBE).

a b c (Å): 4.7440 4.7440 5.0252
angles (deg): 90.00 90.00 90.00
Fractional coordinates of all 5 atoms:
1 Cr 0.0000 0.5000 0.0000
2 Cr 0.5000 0.0000 0.0000
3 Re 0.0000 0.0000 0.0000
4 Te 0.0000 0.0000 0.5000
5 Pd 0.5000 0.5000 0.5000

Results
As for the raw formation energy: 1165 meV per atom. The space group is P4/mmm (123).

Entry 3:
Entry from Alexandria: an optimized crystal structure of TiCrRePd (GGA-PBE).

a b c (Å): 6.1672 6.1672 6.1672
angles (deg): 90.00 90.00 90.00
Fractional coordinates of all 16 atoms:
1 Ti 0.0000 0.0000 0.0000
2 Ti 0.0000 0.5000 0.5000
3 Ti 0.5000 0.0000 0.5000
4 Ti 0.5000 0.5000 0.0000
5 Cr 0.0000 0.0000 0.5000
6 Cr 0.0000 0.5000 0.0000
7 Cr 0.5000 0.0000 0.0000
8 Cr 0.5000 0.5000 0.5000
9 Re 0.2500 0.2500 0.7500
10 Re 0.2500 0.7500 0.2500
11 Re 0.7500 0.2500 0.2500
12 Re 0.7500 0.7500 0.7500
13 Pd 0.2500 0.2500 0.2500
14 Pd 0.2500 0.7500 0.7500
15 Pd 0.7500 0.2500 0.7500
16 Pd 0.7500 0.7500 0.2500

Results
The formation energy is -0.12 eV per atom. The space group is F-43m (216).

Entry 4:
Entry from Alexandria: an optimized crystal structure of VCrRePd (GGA-PBE).

a b c (Å): 6.0988 6.0988 6.0988
angles (deg): 90.00 90.00 90.00
Fractional coordinates of all 16 atoms:
1 V 0.0000 0.0000 0.0000
2 V 0.0000 0.5000 0.5000
3 V 0.5000 0.0000 0.5000
4 V 0.5000 0.5000 0.0000
5 Cr 0.0000 0.0000 0.5000
6 Cr 0.0000 0.5000 0.0000
7 Cr 0.5000 0.0000 0.0000
8 Cr 0.5000 0.5000 0.5000
9 Re 0.2500 0.2500 0.7500
10 Re 0.2500 0.7500 0.2500
11 Re 0.7500 0.2500 0.2500
12 Re 0.7500 0.7500 0.7500
13 Pd 0.2500 0.2500 0.2500
14 Pd 0.2500 0.7500 0.7500
15 Pd 0.7500 0.2500 0.7500
16 Pd 0.7500 0.7500 0.2500

Results
The formation energy is 0.05 eV per atom. The space group is F-43m (216).

Entry 5:
Entry from Alexandria: an optimized crystal structure of Cr2PdRh (GGA-PBE).

a b c (Å): 6.6981 6.6981 5.2034
angles (deg): 90.00 90.00 90.00
Fractional coordinates of all 16 atoms:
1 Cr 0.2269 0.2500 0.1250
2 Cr 0.2500 0.7269 0.3750
3 Cr 0.2500 0.7731 0.8750
4 Cr 0.2731 0.2500 0.6250
5 Cr 0.7269 0.7500 0.6250
6 Cr 0.7500 0.2269 0.8750
7 Cr 0.7500 0.2731 0.3750
8 Cr 0.7731 0.7500 0.1250
9 Pd 0.0000 0.0000 0.5000
10 Pd 0.0000 0.5000 0.7500
11 Pd 0.5000 0.0000 0.2500
12 Pd 0.5000 0.5000 0.0000
13 Rh 0.0000 0.0000 0.0000
14 Rh 0.0000 0.5000 0.2500
15 Rh 0.5000 0.0000 0.7500
16 Rh 0.5000 0.5000 0.5000

Results
The formation energy is 0.61 eV per atom. The space group is I-42d (122).

Entry 6:
Entry from Alexandria: an optimized crystal structure of Cr2PdRh2 (GGA-PBE).

a b c (Å): 7.1614 7.1614 2.7008
angles (deg): 90.00 90.00 90.00
Fractional coordinates of all 10 atoms:
1 Cr 0.1145 0.3855 0.0000
2 Cr 0.3855 0.8855 0.0000
3 Cr 0.6145 0.1145 0.0000
4 Cr 0.8855 0.6145 0.0000
5 Pd 0.0000 0.0000 0.0000
6 Pd 0.5000 0.5000 0.0000
7 Rh 0.1741 0.6741 0.5000
8 Rh 0.3259 0.1741 0.5000
9 Rh 0.6741 0.8259 0.5000
10 Rh 0.8259 0.3259 0.5000

Results
The formation energy is 0.06 eV per atom. The space group is P4/mbm (127). Its offset from the most stable computed form is 0.0000 eV/atom.

Entry 7:
Entry from Alexandria: an optimized crystal structure of CrPd2Rh (GGA-PBE).

a b c (Å): 6.9743 6.9743 5.2552
angles (deg): 90.00 90.00 90.00
Fractional coordinates of all 16 atoms:
1 Cr 0.0000 0.0000 0.0000
2 Cr 0.0000 0.5000 0.2500
3 Cr 0.5000 0.0000 0.7500
4 Cr 0.5000 0.5000 0.5000
5 Pd 0.2330 0.2500 0.1250
6 Pd 0.2500 0.7330 0.3750
7 Pd 0.2500 0.7670 0.8750
8 Pd 0.2670 0.2500 0.6250
9 Pd 0.7330 0.7500 0.6250
10 Pd 0.7500 0.2330 0.8750
11 Pd 0.7500 0.2670 0.3750
12 Pd 0.7670 0.7500 0.1250
13 Rh 0.0000 0.0000 0.5000
14 Rh 0.0000 0.5000 0.7500
15 Rh 0.5000 0.0000 0.2500
16 Rh 0.5000 0.5000 0.0000

Results
The formation energy is 0.41 eV per atom. The space group is I-42d (122).

Entry 8:
Entry from Alexandria: an optimized crystal structure of Cr2PdRh2 (GGA-PBE).

a b c (Å): 7.2183 7.2183 2.6720
angles (deg): 90.00 90.00 90.00
Fractional coordinates of all 10 atoms:
1 Cr 0.1650 0.3350 0.0000
2 Cr 0.3350 0.8350 0.0000
3 Cr 0.6650 0.1650 0.0000
4 Cr 0.8350 0.6650 0.0000
5 Pd 0.0000 0.0000 0.5000
6 Pd 0.5000 0.5000 0.5000
7 Rh 0.1315 0.6315 0.5000
8 Rh 0.3685 0.1315 0.5000
9 Rh 0.6315 0.8685 0.5000
10 Rh 0.8685 0.3685 0.5000

Results
The formation energy is 0.07 eV per atom. The space group is P4/mbm (127). Its offset from the most stable computed form is 0.0149 eV/atom.